Entry 1:
HoCoB4 | PBE | optimized geometry

Summary:
Energy relative to the lowest polymorph listed for this composition   185 meV/atom
Space-group type   No. 71

abc: 4.702 4.702 4.702
angles: 141.01 111.66 81.59
Sites, in units of the cell vectors:
Ho  0.000  0.000  0.000
Co  0.500  0.500  0.000
B  0.083  0.750  0.333
B  0.417  0.750  0.667
B  0.583  0.250  0.333
B  0.917  0.250  0.667



Entry 2:
HoCo3B2 | PBE | optimized geometry

Summary:
Uncorrected energy   -7.0479 eV/atom
Space-group type   No. 191

abc: 4.990 4.990 3.011
angles: 90.00 90.00 120.00
Sites, in units of the cell vectors:
Ho  0.000  0.000  0.000
Co  0.000  0.500  0.500
Co  0.500  0.000  0.500
Co  0.500  0.500  0.500
B  0.333  0.667  0.000
B  0.667  0.333  0.000



Entry 3:
HoCoB | PBE | optimized geometry

Summary:
Energy relative to the lowest polymorph listed for this composition   0 meV/atom
Space-group type   No. 216

abc: 4.021 4.021 4.021
angles: 60.00 60.00 60.00
Sites, in units of the cell vectors:
Ho  0.000  0.000  0.000
Co  0.500  0.500  0.500
B  0.250  0.250  0.250



Entry 4:
HoCoB | PBE | optimized geometry

Summary:
Energy relative to the lowest polymorph listed for this composition   969 meV/atom
Space-group type   No. 216

abc: 4.217 4.217 4.217
angles: 60.00 60.00 60.00
Sites, in units of the cell vectors:
Ho  0.000  0.000  0.000
Co  0.250  0.250  0.250
B  0.750  0.750  0.750



Entry 5:
HoCo4B | PBE | optimized geometry

Summary:
Uncorrected energy   -6.9244 eV/atom
Space-group type   No. 191

abc: 4.984 4.984 6.845
angles: 90.00 90.00 120.00
Sites, in units of the cell vectors:
Ho  0.000  0.000  0.000
Ho  0.000  0.000  0.500
Co  0.000  0.500  0.213
Co  0.000  0.500  0.787
Co  0.333  0.667  0.500
Co  0.500  0.000  0.213
Co  0.500  0.000  0.787
Co  0.500  0.500  0.213
Co  0.500  0.500  0.787
Co  0.667  0.333  0.500
B  0.333  0.667  0.000
B  0.667  0.333  0.000



Entry 6:
HoCo12B6 | PBE | optimized geometry

Summary:
Uncorrected energy   -7.1851 eV/atom
Space-group type   No. 166

abc: 5.948 5.948 5.948
angles: 104.05 104.05 104.05
Sites, in units of the cell vectors:
Ho  0.000  0.000  0.000
Co  0.132  0.500  0.868
Co  0.132  0.868  0.500
Co  0.186  0.455  0.455
Co  0.455  0.186  0.455
Co  0.455  0.455  0.186
Co  0.500  0.132  0.868
Co  0.500  0.868  0.132
Co  0.545  0.545  0.814
Co  0.545  0.814  0.545
Co  0.814  0.545  0.545
Co  0.868  0.132  0.500
Co  0.868  0.500  0.132
B  0.234  0.234  0.680
B  0.234  0.680  0.234
B  0.320  0.766  0.766
B  0.680  0.234  0.234
B  0.766  0.320  0.766
B  0.766  0.766  0.320



Entry 7:
Ho4Co3B6 | PBE | optimized geometry

Summary:
Uncorrected energy   -6.4921 eV/atom
Space-group type   No. 166

abc: 7.889 7.889 7.889
angles: 39.18 39.18 39.18
Sites, in units of the cell vectors:
Ho  0.089  0.089  0.089
Ho  0.245  0.245  0.245
Ho  0.755  0.755  0.755
Ho  0.911  0.911  0.911
Co  0.388  0.388  0.388
Co  0.500  0.500  0.500
Co  0.612  0.612  0.612
B  0.000  0.332  0.668
B  0.000  0.668  0.332
B  0.332  0.000  0.668
B  0.332  0.668  0.000
B  0.668  0.000  0.332
B  0.668  0.332  0.000



Entry 8:
Ho5Co2B6 | PBE | optimized geometry

Summary:
Uncorrected energy   -6.4798 eV/atom
Space-group type   No. 166

abc: 8.287 8.287 8.287
angles: 37.95 37.95 37.95
Sites, in units of the cell vectors:
Ho  0.000  0.000  0.000
Ho  0.252  0.252  0.252
Ho  0.416  0.416  0.416
Ho  0.584  0.584  0.584
Ho  0.748  0.748  0.748
Co  0.119  0.119  0.119
Co  0.881  0.881  0.881
B  0.169  0.500  0.831
B  0.169  0.831  0.500
B  0.500  0.169  0.831
B  0.500  0.831  0.169
B  0.831  0.169  0.500
B  0.831  0.500  0.169



Entry 9:
HoCoB4 | PBE | optimized geometry

Summary:
Energy relative to the lowest polymorph listed for this composition   0 meV/atom
Space-group type   No. 191

abc: 3.153 3.153 6.449
angles: 90.00 90.00 120.00
Sites, in units of the cell vectors:
Ho  0.000  0.000  0.000
Co  0.000  0.000  0.500
B  0.333  0.667  0.299
B  0.333  0.667  0.701
B  0.667  0.333  0.299
B  0.667  0.333  0.701



Entry 10:
Ho2Co4B4Ir | PBE | optimized geometry

Summary:
Uncorrected energy   -7.2354 eV/atom
Space-group type   No. 69

abc: 7.236 6.045 5.350
angles: 78.58 54.97 46.44
Sites, in units of the cell vectors:
Ho  0.145  0.145  0.855
Ho  0.855  0.855  0.145
Co  0.000  0.000  0.500
Co  0.250  0.250  0.250
Co  0.500  0.500  0.000
Co  0.750  0.750  0.750
B  0.201  0.534  0.466
B  0.466  0.799  0.201
B  0.534  0.201  0.799
B  0.799  0.466  0.534
Ir  0.500  0.500  0.500



Entry 11:
Ho2CoB2IrN2 | PBE | optimized geometry

Summary:
Uncorrected energy   -8.0533 eV/atom
Space-group type   No. 115

abc: 3.571 3.571 7.511
angles: 90.00 90.00 90.00
Sites, in units of the cell vectors:
Ho  0.000  0.500  0.162
Ho  0.500  0.000  0.838
Co  0.500  0.500  0.500
B  0.000  0.500  0.657
B  0.500  0.000  0.343
Ir  0.000  0.000  0.500
N  0.000  0.500  0.857
N  0.500  0.000  0.143



Entry 12:
La2HoCo2B2N3 | PBE | optimized geometry

Summary:
Uncorrected energy   -7.7660 eV/atom
Space-group type   No. 139

abc: 10.131 10.131 10.131
angles: 159.18 159.18 29.62
Sites, in units of the cell vectors:
La  0.128  0.128  0.000
La  0.872  0.872  0.000
Ho  0.500  0.500  0.000
Co  0.250  0.750  0.500
Co  0.750  0.250  0.500
B  0.303  0.303  0.000
B  0.697  0.697  0.000
N  0.000  0.000  0.000
N  0.379  0.379  0.000
N  0.621  0.621  0.000



Entry 13:
Ho2CoNiB2N2 | PBE | optimized geometry

Summary:
Uncorrected energy   -7.5957 eV/atom
Space-group type   No. 115

abc: 3.472 3.472 7.434
angles: 90.00 90.00 90.00
Sites, in units of the cell vectors:
Ho  0.000  0.500  0.168
Ho  0.500  0.000  0.832
Co  0.000  0.000  0.500
Ni  0.500  0.500  0.500
B  0.000  0.500  0.654
B  0.500  0.000  0.346
N  0.000  0.500  0.854
N  0.500  0.000  0.146